1.
CsRu2Cl: optimized geometry, PBE.

Cell: 4.8923 4.8923 4.8923 Å, 60.00 60.00 60.00°
With the nearest neighbours (Å) after each atom.
Element x y z (fractional)
Cs: 0.0000 0.0000 0.0000  8 Ru 3.00
Ru: 0.2500 0.2500 0.2500  4 Cl 3.00, 4 Cs 3.00
Ru: 0.7500 0.7500 0.7500  4 Cl 3.00, 4 Cs 3.00
Cl: 0.5000 0.5000 0.5000  8 Ru 3.00

- magnetic moment (μB per formula unit) = 4.1
- mass density (Mg/m³) = 7.4
- N(E_F) (states/eV per cell) = 3.86
- energy above the most stable polymorph in this dataset (meV/atom) = 875
- ΔE_f (raw) (eV/atom) = 1.649


2.
CsRuCl6: optimized geometry, PBE.

Cell: 7.4624 7.4624 7.4624 Å, 55.89 55.89 55.89°
With the nearest neighbours (Å) after each atom.
Element x y z (fractional)
Cs: 0.0000 0.0000 0.0000  12 Cl 3.93
Ru: 0.5000 0.5000 0.5000  6 Cl 2.32
Cl: 0.1154 0.5856 0.5856  1 Ru 2.32
Cl: 0.4144 0.4144 0.8846  1 Ru 2.32
Cl: 0.4144 0.8846 0.4144  1 Ru 2.32
Cl: 0.5856 0.1154 0.5856  1 Ru 2.32
Cl: 0.5856 0.5856 0.1154  1 Ru 2.32
Cl: 0.8846 0.4144 0.4144  1 Ru 2.32

- magnetic moment (μB per formula unit) = 3.1
- mass density (Mg/m³) = 2.8
- ΔE_f (raw) (eV/atom) = -0.854


3.
CsRu3Cl: optimized geometry, PBE.

Cell: 4.6162 4.6162 4.6162 Å, 90.00 90.00 90.00°
With the nearest neighbours (Å) after each atom.
Element x y z (fractional)
Cs: 0.0000 0.0000 0.0000  12 Ru 3.26
Ru: 0.0000 0.5000 0.5000  2 Cl 2.31
Ru: 0.5000 0.0000 0.5000  2 Cl 2.31
Ru: 0.5000 0.5000 0.0000  2 Cl 2.31
Cl: 0.5000 0.5000 0.5000  6 Ru 2.31

- magnetic moment (μB per formula unit) = 0.0
- mass density (Mg/m³) = 8.0
- N(E_F) (states/eV per cell) = 9.42
- energy above the most stable polymorph in this dataset (meV/atom) = 0
- ΔE_f (raw) (eV/atom) = 1.610


4.
CsRu2Cl: optimized geometry, PBE.

Cell: 9.0353 9.0353 9.0353 Å, 148.11 148.11 45.72°
With the nearest neighbours (Å) after each atom.
Element x y z (fractional)
Cs: 0.0000 0.0000 0.0000  8 Ru 3.45-3.48, 4 Cl 3.51
Cs: 0.7500 0.2500 0.5000  8 Ru 3.45-3.48, 4 Cl 3.51
Ru: 0.3706 0.6250 0.2456  2 Cl 2.42, 2 Ru 2.48
Ru: 0.3750 0.6206 0.7456  2 Cl 2.42, 2 Ru 2.48
Ru: 0.3794 0.1250 0.7544  2 Cl 2.42, 2 Ru 2.48
Ru: 0.8750 0.6294 0.2544  2 Cl 2.42, 2 Ru 2.48
Cl: 0.2500 0.7500 0.5000  4 Ru 2.42
Cl: 0.5000 0.5000 0.0000  4 Ru 2.42

- magnetic moment (μB per formula unit) = 0.6
- mass density (Mg/m³) = 6.0
- N(E_F) (states/eV per cell) = 7.30
- energy above the most stable polymorph in this dataset (meV/atom) = 0
- ΔE_f (raw) (eV/atom) = 0.773


5.
CsRu3Cl: optimized geometry, PBE.

Cell: 5.0848 5.0848 5.0848 Å, 90.00 90.00 90.00°
With the nearest neighbours (Å) after each atom.
Element x y z (fractional)
Cs: 0.0000 0.0000 0.0000  6 Ru 2.54
Ru: 0.0000 0.0000 0.5000  2 Cs 2.54
Ru: 0.0000 0.5000 0.0000  2 Cs 2.54
Ru: 0.5000 0.0000 0.0000  2 Cs 2.54
Cl: 0.5000 0.5000 0.5000  12 Ru 3.60

- magnetic moment (μB per formula unit) = 6.0
- mass density (Mg/m³) = 6.0
- N(E_F) (states/eV per cell) = 5.75
- energy above the most stable polymorph in this dataset (meV/atom) = 1184
- ΔE_f (raw) (eV/atom) = 2.794


6.
Cs2RuCl5: optimized geometry, PBE.

Cell: 7.3027 7.3027 7.3027 Å, 116.60 116.60 96.00°
With the nearest neighbours (Å) after each atom.
Element x y z (fractional)
Cs: 0.0000 0.5000 0.5000  10 Cl 3.67-3.84
Cs: 0.5000 0.0000 0.5000  10 Cl 3.67-3.84
Ru: 0.2695 0.2695 0.0000  5 Cl 2.27-2.36
Cl: 0.0324 0.0324 0.5657  1 Ru 2.36
Cl: 0.0324 0.4667 0.0000  1 Ru 2.36
Cl: 0.4667 0.0324 0.0000  1 Ru 2.36
Cl: 0.4667 0.4667 0.4343  1 Ru 2.36
Cl: 0.5017 0.5017 0.0000  1 Ru 2.27

- magnetic moment (μB per formula unit) = 1.0
- mass density (Mg/m³) = 3.1
- N(E_F) (states/eV per cell) = 10.09
- ΔE_f (raw) (eV/atom) = -1.209


7.
Cs3Ru2Cl9: optimized geometry, PBE.

Cell: 7.4852 7.4852 18.0895 Å, 90.00 90.00 120.00°
With the nearest neighbours (Å) after each atom.
Element x y z (fractional)
Cs: 0.0000 0.0000 0.2500  12 Cl 3.62-3.75
Cs: 0.0000 0.0000 0.7500  12 Cl 3.62-3.75
Cs: 0.3333 0.6667 0.0690  12 Cl 3.62-4.01
Cs: 0.3333 0.6667 0.4310  12 Cl 3.62-4.01
Cs: 0.6667 0.3333 0.5690  12 Cl 3.62-4.01
Cs: 0.6667 0.3333 0.9310  12 Cl 3.62-4.01
Ru: 0.3333 0.6667 0.6762  6 Cl 2.37-2.41
Ru: 0.3333 0.6667 0.8238  6 Cl 2.37-2.41
Ru: 0.6667 0.3333 0.1762  6 Cl 2.37-2.41
Ru: 0.6667 0.3333 0.3238  6 Cl 2.37-2.41
Cl: 0.0245 0.5122 0.7500  2 Ru 2.41
Cl: 0.1848 0.3697 0.6002  1 Ru 2.37
Cl: 0.1848 0.3697 0.8998  1 Ru 2.37
Cl: 0.1848 0.8152 0.6002  1 Ru 2.37
Cl: 0.1848 0.8152 0.8998  1 Ru 2.37
Cl: 0.3697 0.1848 0.1002  1 Ru 2.37
Cl: 0.3697 0.1848 0.3998  1 Ru 2.37
Cl: 0.4878 0.5122 0.7500  2 Ru 2.41
Cl: 0.4878 0.9755 0.7500  2 Ru 2.41
Cl: 0.5122 0.0245 0.2500  2 Ru 2.41
Cl: 0.5122 0.4878 0.2500  2 Ru 2.41
Cl: 0.6303 0.8152 0.6002  1 Ru 2.37
Cl: 0.6303 0.8152 0.8998  1 Ru 2.37
Cl: 0.8152 0.1848 0.1002  1 Ru 2.37
Cl: 0.8152 0.1848 0.3998  1 Ru 2.37
Cl: 0.8152 0.6303 0.1002  1 Ru 2.37
Cl: 0.8152 0.6303 0.3998  1 Ru 2.37
Cl: 0.9755 0.4878 0.2500  2 Ru 2.41

- magnetic moment (μB per formula unit) = 0.0
- mass density (Mg/m³) = 3.5
- N(E_F) (states/eV per cell) = 3.42
- ΔE_f (raw) (eV/atom) = -1.219


8.
CsRuCl2: optimized geometry, PBE.

Cell: 5.3703 5.3703 5.3703 Å, 60.00 60.00 60.00°
With the nearest neighbours (Å) after each atom.
Element x y z (fractional)
Cs: 0.0000 0.0000 0.0000  8 Cl 3.29
Ru: 0.5000 0.5000 0.5000  8 Cl 3.29
Cl: 0.2500 0.2500 0.2500  4 Ru 3.29, 4 Cs 3.29
Cl: 0.7500 0.7500 0.7500  4 Ru 3.29, 4 Cs 3.29

- magnetic moment (μB per formula unit) = 3.0
- mass density (Mg/m³) = 4.6
- N(E_F) (states/eV per cell) = 0.00
- energy above the most stable polymorph in this dataset (meV/atom) = 272
- ΔE_f (raw) (eV/atom) = -0.039